(1)
PBE-GGA ErMgTe, optimized geometry; total energy = -3.249 eV per atom; offset from the most stable computed form = 0.028 eV per atom; crystal system = cubic; M_tot = 0.9 μB per cell
1.0
0.000 3.628 3.628
3.628 0.000 3.628
3.628 3.628 0.000
Mg Te Er
1 1 1
Cartesian
1.814 1.814 1.814
5.442 5.442 5.442
0.000 0.000 0.000

(2)
PBE-GGA Hf2NiAs, optimized geometry; total energy = -7.346 eV per atom; crystal system = cubic; M_tot = 0.0 μB per cell
1.0
0.000 3.264 3.264
3.264 0.000 3.264
3.264 3.264 0.000
Hf As Ni
2 1 1
Cartesian
0.000 0.000 0.000
4.896 4.896 4.896
3.264 3.264 3.264
1.632 1.632 1.632

(3)
PBE-GGA NdHoRe, optimized geometry; energy relative to the elements = 1226 meV/atom; total energy = -6.028 eV per atom; crystal system = cubic; M_tot = 0.5 μB per cell
1.0
0.000 3.405 3.405
3.405 0.000 3.405
3.405 3.405 0.000
Nd Ho Re
1 1 1
Cartesian
0.000 0.000 0.000
1.703 1.703 1.703
5.108 5.108 5.108